{
  "formula": "Pr12TlIr6",
  "functional": "GGA-PBE",
  "state": "relaxed",
  "density_g_cm3": 9.05,
  "sg": "Im-3, No. 204",
  "e_form_kj_per_mol_atoms": -43.7,
  "m_tot_mub_per_cell": 0.000,
  "e_tot_ev_per_atom": -6.3947,
  "lattice": [[-5.1901, 5.1901, 5.1901], [5.1901, -5.1901, 5.1901], [5.1901, 5.1901, -5.1901]],
  "species": ["Pr", "Pr", "Pr", "Pr", "Pr", "Pr", "Pr", "Pr", "Pr", "Pr", "Pr", "Pr", "Tl", "Ir", "Ir", "Ir", "Ir", "Ir", "Ir"],
  "frac_coords": [[0.1152, 0.8102, 0.3050], [0.1898, 0.3050, 0.4948], [0.1898, 0.6950, 0.8848], [0.3050, 0.1152, 0.8102], [0.3050, 0.4948, 0.1898], [0.4948, 0.1898, 0.3050], [0.5052, 0.8102, 0.6950], [0.6950, 0.5052, 0.8102], [0.6950, 0.8848, 0.1898], [0.8102, 0.3050, 0.1152], [0.8102, 0.6950, 0.5052], [0.8848, 0.1898, 0.6950], [0.0000, 0.0000, 0.0000], [0.1238, 0.6238, 0.5000], [0.3762, 0.5000, 0.8762], [0.5000, 0.1238, 0.6238], [0.5000, 0.8762, 0.3762], [0.6238, 0.5000, 0.1238], [0.8762, 0.3762, 0.5000]]
}